Entry 1:
KBa2InCu | Alexandria via LeMat-Bulk | PBE | optimized geometry; DFT formation energy = -0.029 eV/atom; relative energy among the computed polymorphs = 0.00 kcal/mol of atoms; total energy = -0.1753 Ry/atom; SG = P4/mmm (123)
1.0
6.4241 0.0000 0.0000
0.0000 6.4241 0.0000
0.0000 0.0000 5.1428
K Ba Cu In
1 2 1 1
Direct
0.5000 0.5000 0.5000
0.0000 0.5000 0.0000
0.5000 0.0000 0.0000
0.0000 0.0000 0.0000
0.0000 0.0000 0.5000


Entry 2:
LiMg4Pd2 | Alexandria via LeMat-Bulk | PBE | optimized geometry; DFT formation energy = -0.372 eV/atom; relative energy among the computed polymorphs = 2.30 kcal/mol of atoms; total energy = -0.2234 Ry/atom; SG = P2_1/m (11)
1.0
-2.4214 -6.5382 1.9593
4.8003 -0.9355 2.8108
-1.7959 5.1730 4.7886
Li Mg Pd
2 8 4
Direct
0.1567 0.7500 0.0273
0.8433 0.2500 0.9727
0.5839 0.4988 0.2346
0.7700 0.7500 0.6639
0.2300 0.2500 0.3361
0.5839 0.0012 0.2346
0.9855 0.2500 0.6151
0.4161 0.9988 0.7654
0.4161 0.5012 0.7654
0.0145 0.7500 0.3849
0.7400 0.7500 0.0155
0.2600 0.2500 0.9845
0.6128 0.2500 0.5699
0.3872 0.7500 0.4301


Entry 3:
TiTlPb2O4 | Alexandria via LeMat-Bulk | PBE | optimized geometry; total energy = -0.4585 Ry/atom; formation energy without anion corrections = -1.5491 eV/atom; SG = Fmm2 (42)
1.0
5.5264 -0.5242 0.0000
-0.9808 5.4639 0.0000
-2.2728 -2.4698 5.2535
Ti Tl Pb O
1 1 2 4
Direct
0.4852 0.4852 0.9705
0.0458 0.0458 0.0917
0.7654 0.2654 0.5308
0.2654 0.7654 0.5308
0.6153 0.6153 0.7669
0.4191 0.7524 0.1715
0.7524 0.4191 0.1715
0.1516 0.1516 0.7669


Entry 4:
CrReSn2 | Alexandria via LeMat-Bulk | PBE | optimized geometry; DFT formation energy = 0.930 eV/atom; relative energy among the computed polymorphs = 11.66 kcal/mol of atoms; total energy = -0.4843 Ry/atom; SG = I-42d (122)
1.0
-0.7328 -3.1842 6.6974
7.3845 0.3045 0.9528
3.0525 1.2625 5.0800
Re Sn Cr
2 4 2
Direct
0.0000 0.0000 0.0000
0.7500 0.2500 0.5000
0.6311 0.1250 0.2500
0.1189 0.6250 0.2500
0.3750 0.3689 0.7500
0.8750 0.8811 0.7500
0.5000 0.5000 0.0000
0.2500 0.7500 0.5000


Entry 5:
Y4ZnCu2 | Alexandria via LeMat-Bulk | PBE | optimized geometry; DFT formation energy = -0.152 eV/atom; total energy = -0.3821 Ry/atom; SG = R-3m (166)
1.0
4.7206 0.0000 1.4748
2.1299 4.2128 1.4748
-0.0528 -0.0325 8.4612
Y Zn Cu
4 1 2
Direct
0.8725 0.8725 0.3826
0.1275 0.1275 0.6174
0.6211 0.6211 0.1368
0.3789 0.3789 0.8632
0.0000 0.0000 0.0000
0.7471 0.7471 0.7587
0.2529 0.2529 0.2413


Entry 6:
CsCa2MoOs | Alexandria via LeMat-Bulk | PBE | optimized geometry; DFT formation energy = 2.326 eV/atom; total energy = -0.2247 Ry/atom; SG = P4/mmm (123)
1.0
5.6727 0.0000 0.0000
0.0000 4.9827 0.0000
0.0000 0.0000 5.6727
Cs Mo Os Ca
1 1 1 2
Direct
0.0000 0.0000 0.0000
0.5000 0.5000 0.5000
0.0000 0.5000 0.0000
0.0000 0.0000 0.5000
0.5000 0.0000 0.0000


Entry 7:
Ho2TlOs | Alexandria via LeMat-Bulk | PBE | optimized geometry; DFT formation energy = -0.163 eV/atom; relative energy among the computed polymorphs = 0.00 kcal/mol of atoms; total energy = -0.4301 Ry/atom; SG = Fm-3m (225)
1.0
5.0429 0.0000 0.0000
2.5214 4.3673 0.0000
2.5214 1.4558 4.1175
Tl Os Ho
1 1 2
Direct
0.5000 0.5000 0.5000
0.0000 0.0000 0.0000
0.2500 0.2500 0.2500
0.7500 0.7500 0.7500


Entry 8:
TiTl3Fe | Alexandria via LeMat-Bulk | PBE | optimized geometry; DFT formation energy = 0.903 eV/atom; relative energy among the computed polymorphs = 0.00 kcal/mol of atoms; total energy = -0.2784 Ry/atom; SG = Pm-3m (221)
1.0
-2.5165 0.8857 -4.2193
-0.7496 -4.9010 -0.5818
-4.2456 0.3403 2.6036
Tl Fe Ti
3 1 1
Direct
0.0000 0.5000 0.0000
0.0000 0.0000 0.5000
0.5000 0.0000 0.0000
0.0000 0.0000 0.0000
0.5000 0.5000 0.5000


Entry 9:
GaAgAsAuCl | Alexandria via LeMat-Bulk | PBE | optimized geometry; relative energy among the computed polymorphs = 0.26 kcal/mol of atoms; total energy = -0.2425 Ry/atom; formation energy without anion corrections = -0.1685 eV/atom; SG = P1 (1)
1.0
-1.5797 0.8411 -3.9054
1.3149 -3.8900 -1.4386
-6.6625 -1.2051 2.8549
As Au Ga Ag Cl
1 1 1 1 1
Direct
0.6120 0.8767 0.2841
0.8747 0.3268 0.1834
0.1299 0.7713 0.0713
0.1435 0.0786 0.5198
0.1737 0.6595 0.7409


Entry 10:
ZrTiAs | Alexandria via LeMat-Bulk | PBE | optimized geometry; DFT formation energy = -0.975 eV/atom; total energy = -0.5884 Ry/atom; SG = P2_1/m (11)
1.0
3.6818 0.0000 0.0000
0.0000 7.0647 -0.0023
0.0000 -0.0241 12.3546
Zr Ti As
6 6 6
Direct
0.7500 0.5415 0.3819
0.2500 0.9578 0.7170
0.7500 0.0422 0.2830
0.7500 0.6485 0.0878
0.2500 0.4585 0.6181
0.2500 0.3515 0.9122
0.2500 0.9940 0.0882
0.2500 0.8674 0.4574
0.7500 0.6312 0.7970
0.7500 0.1326 0.5426
0.2500 0.3688 0.2030
0.7500 0.0060 0.9118
0.2500 0.7502 0.9249
0.7500 0.2594 0.7489
0.7500 0.7529 0.5896
0.7500 0.2498 0.0751
0.2500 0.2471 0.4104
0.2500 0.7406 0.2511


Entry 11:
La2TiZnN | Alexandria via LeMat-Bulk | PBE | optimized geometry; total energy = -0.4532 Ry/atom; formation energy without anion corrections = -0.6958 eV/atom; SG = P4/mmm (123)
1.0
5.2896 0.0000 0.0000
0.0000 5.2896 0.0000
0.0000 0.0000 4.0114
N Zn Ti La
1 1 1 2
Direct
0.0000 0.0000 0.0000
0.5000 0.5000 0.5000
0.0000 0.0000 0.5000
0.0000 0.5000 0.0000
0.5000 0.0000 0.0000


Entry 12:
GaBiPSe | Alexandria via LeMat-Bulk | PBE | optimized geometry; relative energy among the computed polymorphs = 0.00 kcal/mol of atoms; total energy = -0.3082 Ry/atom; formation energy without anion corrections = -0.2432 eV/atom; SG = Amm2 (38)
1.0
3.8556 0.0000 0.0000
0.0000 3.9598 0.0000
0.0000 0.0000 13.5883
Ga Bi P Se
2 2 2 2
Direct
0.5000 0.0000 0.8644
0.5000 0.5000 0.3644
0.0000 0.0000 0.5989
0.0000 0.5000 0.0989
0.0000 0.0000 0.9663
0.0000 0.5000 0.4663
0.5000 0.0000 0.2546
0.5000 0.5000 0.7546